1.
# KAsPtCl (PBE, optimized geometry)
# Calculated volume: 27.2 Å³/atom
# Relative energy among the computed polymorphs: 0 meV per atom
# Magnetization: 0.0 μB per formula unit
# Electronic total energy: -16.3 eV per formula unit
data_KAsPtCl
_cell_length_a 6.1263
_cell_length_b 4.6399
_cell_length_c 7.7110
_cell_angle_alpha 90.00
_cell_angle_beta 96.94
_cell_angle_gamma 90.00
_space_group_name_H-M_alt 'P 1'
_space_group_IT_number 1
_space_group_name_Hall 'P 1'
loop_
_atom_site_label
_atom_site_type_symbol
_atom_site_fract_x
_atom_site_fract_y
_atom_site_fract_z
K1 K 0.0000 0.0000 0.0000
K2 K 0.5000 0.5000 0.0000
As1 As 0.3566 0.0000 0.4217
As2 As 0.8566 0.5000 0.4217
Pt1 Pt 0.2368 0.5000 0.3783
Pt2 Pt 0.7368 0.0000 0.3783
Cl1 Cl 0.3863 0.0000 0.7794
Cl2 Cl 0.8863 0.5000 0.7794

=====

2.
# KAsPtCl (PBE, optimized geometry)
# Calculated volume: 27.3 Å³/atom
# Relative energy among the computed polymorphs: 90 meV per atom
# Magnetization: 0.0 μB per formula unit
# Electronic total energy: -16.0 eV per formula unit
data_KAsPtCl
_cell_length_a 3.5527
_cell_length_b 5.3640
_cell_length_c 6.5121
_cell_angle_alpha 98.79
_cell_angle_beta 105.57
_cell_angle_gamma 108.98
_space_group_name_H-M_alt 'P 1'
_space_group_IT_number 1
_space_group_name_Hall 'P 1'
loop_
_atom_site_label
_atom_site_type_symbol
_atom_site_fract_x
_atom_site_fract_y
_atom_site_fract_z
K1 K 0.0000 0.0000 0.0000
As1 As 0.4763 0.3122 0.6416
Pt1 Pt 0.9722 0.4807 0.4647
Cl1 Cl 0.4261 0.6301 0.2205

=====

3.
# KAsPtCl (PBE, optimized geometry)
# Calculated volume: 26.0 Å³/atom
# Relative energy among the computed polymorphs: 15 meV per atom
# Magnetization: 0.0 μB per formula unit
# Electronic total energy: -16.3 eV per formula unit
data_KAsPtCl
_cell_length_a 6.6392
_cell_length_b 3.8187
_cell_length_c 8.4853
_cell_angle_alpha 90.00
_cell_angle_beta 104.95
_cell_angle_gamma 90.00
_space_group_name_H-M_alt 'P 1'
_space_group_IT_number 1
_space_group_name_Hall 'P 1'
loop_
_atom_site_label
_atom_site_type_symbol
_atom_site_fract_x
_atom_site_fract_y
_atom_site_fract_z
K1 K 0.0000 0.0000 0.0000
K2 K 0.5000 0.5000 0.0000
As1 As 0.2259 0.0000 0.6760
As2 As 0.7259 0.5000 0.6760
Pt1 Pt 0.3510 0.5000 0.5458
Pt2 Pt 0.8510 0.0000 0.5458
Cl1 Cl 0.2450 0.5000 0.2351
Cl2 Cl 0.7450 0.0000 0.2351

=====

4.
# KAsPtCl (PBE, optimized geometry)
# Calculated volume: 24.9 Å³/atom
# Relative energy among the computed polymorphs: 119 meV per atom
# Magnetization: 0.0 μB per formula unit
# Electronic total energy: -15.8 eV per formula unit
data_KAsPtCl
_cell_length_a 3.2464
_cell_length_b 3.7447
_cell_length_c 16.3556
_cell_angle_alpha 90.00
_cell_angle_beta 90.00
_cell_angle_gamma 90.00
_space_group_name_H-M_alt 'P 1'
_space_group_IT_number 1
_space_group_name_Hall 'P 1'
loop_
_atom_site_label
_atom_site_type_symbol
_atom_site_fract_x
_atom_site_fract_y
_atom_site_fract_z
K1 K 0.0000 0.0000 0.0000
K2 K 0.0000 0.5000 0.5000
As1 As 0.5000 0.0000 0.3459
As2 As 0.5000 0.5000 0.8459
Pt1 Pt 0.5000 0.0000 0.7562
Pt2 Pt 0.5000 0.5000 0.2562
Cl1 Cl 0.5000 0.0000 0.6028
Cl2 Cl 0.5000 0.5000 0.1028

=====

5.
# K2RbAsCl8 (PBE, optimized geometry)
# Calculated volume: 31.5 Å³/atom
# Magnetization: 0.0 μB per formula unit
# Electronic total energy: -36.6 eV per formula unit
data_K2RbAsCl8
_cell_length_a 5.9314
_cell_length_b 7.4985
_cell_length_c 9.2868
_cell_angle_alpha 88.23
_cell_angle_beta 81.44
_cell_angle_gamma 67.61
_space_group_name_H-M_alt 'P 1'
_space_group_IT_number 1
_space_group_name_Hall 'P 1'
loop_
_atom_site_label
_atom_site_type_symbol
_atom_site_fract_x
_atom_site_fract_y
_atom_site_fract_z
K1 K 0.1109 0.0399 0.2409
K2 K 0.8891 0.9601 0.7591
Rb1 Rb 0.5000 0.5000 0.0000
As1 As 0.5000 0.5000 0.5000
Cl1 Cl 0.1022 0.7019 0.4664
Cl2 Cl 0.1152 0.2021 0.9331
Cl3 Cl 0.3438 0.3568 0.6909
Cl4 Cl 0.4994 0.7332 0.6697
Cl5 Cl 0.5006 0.2668 0.3303
Cl6 Cl 0.6562 0.6432 0.3091
Cl7 Cl 0.8848 0.7979 0.0669
Cl8 Cl 0.8978 0.2981 0.5336

=====

6.
# KRb2AsCl6 (PBE, optimized geometry)
# Calculated volume: 33.2 Å³/atom
# Magnetization: 0.0 μB per formula unit
# Electronic total energy: -33.2 eV per formula unit
data_KRb2AsCl6
_cell_length_a 7.7745
_cell_length_b 7.7745
_cell_length_c 7.7745
_cell_angle_alpha 60.00
_cell_angle_beta 60.00
_cell_angle_gamma 60.00
_space_group_name_H-M_alt 'P 1'
_space_group_IT_number 1
_space_group_name_Hall 'P 1'
loop_
_atom_site_label
_atom_site_type_symbol
_atom_site_fract_x
_atom_site_fract_y
_atom_site_fract_z
K1 K 0.0000 0.0000 0.0000
Rb1 Rb 0.2500 0.2500 0.2500
Rb2 Rb 0.7500 0.7500 0.7500
As1 As 0.5000 0.5000 0.5000
Cl1 Cl 0.2718 0.2718 0.7282
Cl2 Cl 0.2718 0.7282 0.2718
Cl3 Cl 0.2718 0.7282 0.7282
Cl4 Cl 0.7282 0.2718 0.2718
Cl5 Cl 0.7282 0.2718 0.7282
Cl6 Cl 0.7282 0.7282 0.2718

=====

7.
# K2RbAsCl6 (PBE, optimized geometry)
# Calculated volume: 33.8 Å³/atom
# Magnetization: 0.0 μB per formula unit
# Electronic total energy: -33.4 eV per formula unit
data_K2RbAsCl6
_cell_length_a 7.9565
_cell_length_b 7.9565
_cell_length_c 7.9565
_cell_angle_alpha 57.72
_cell_angle_beta 57.72
_cell_angle_gamma 57.72
_space_group_name_H-M_alt 'P 1'
_space_group_IT_number 1
_space_group_name_Hall 'P 1'
loop_
_atom_site_label
_atom_site_type_symbol
_atom_site_fract_x
_atom_site_fract_y
_atom_site_fract_z
K1 K 0.0000 0.0000 0.0000
K2 K 0.4870 0.4870 0.4870
Rb1 Rb 0.2801 0.2801 0.2801
As1 As 0.7910 0.7910 0.7910
Cl1 Cl 0.0171 0.4613 0.6818
Cl2 Cl 0.1179 0.8859 0.5994
Cl3 Cl 0.4613 0.6818 0.0171
Cl4 Cl 0.5994 0.1179 0.8859
Cl5 Cl 0.6818 0.0171 0.4613
Cl6 Cl 0.8859 0.5994 0.1179

=====

8.
# KRb2AsCl8 (PBE, optimized geometry)
# Calculated volume: 33.7 Å³/atom
# Magnetization: 0.2 μB per formula unit
# Electronic total energy: -36.5 eV per formula unit
data_KRb2AsCl8
_cell_length_a 5.8774
_cell_length_b 7.7492
_cell_length_c 9.2495
_cell_angle_alpha 84.99
_cell_angle_beta 75.85
_cell_angle_gamma 82.49
_space_group_name_H-M_alt 'P 1'
_space_group_IT_number 1
_space_group_name_Hall 'P 1'
loop_
_atom_site_label
_atom_site_type_symbol
_atom_site_fract_x
_atom_site_fract_y
_atom_site_fract_z
K1 K 0.0000 0.0000 0.0000
Rb1 Rb 0.1899 0.5023 0.2210
Rb2 Rb 0.8101 0.4977 0.7790
As1 As 0.0000 0.0000 0.5000
Cl1 Cl 0.1753 0.8249 0.6725
Cl2 Cl 0.2041 0.2279 0.5240
Cl3 Cl 0.2947 0.3148 0.9106
Cl4 Cl 0.3022 0.8987 0.3075
Cl5 Cl 0.6978 0.1013 0.6925
Cl6 Cl 0.7053 0.6852 0.0894
Cl7 Cl 0.7959 0.7721 0.4760
Cl8 Cl 0.8247 0.1751 0.3275

=====

9.
# KAsRh2Cl (PBE, optimized geometry)
# Calculated volume: 24.8 Å³/atom
# Magnetization: 1.0 μB per formula unit
# Electronic total energy: -13.9 eV per formula unit
data_KAsRh2Cl
_cell_length_a 4.9293
_cell_length_b 4.9293
_cell_length_c 5.1109
_cell_angle_alpha 90.00
_cell_angle_beta 90.00
_cell_angle_gamma 90.00
_space_group_name_H-M_alt 'P 1'
_space_group_IT_number 1
_space_group_name_Hall 'P 1'
loop_
_atom_site_label
_atom_site_type_symbol
_atom_site_fract_x
_atom_site_fract_y
_atom_site_fract_z
K1 K 0.0000 0.0000 0.0000
As1 As 0.5000 0.5000 0.5000
Rh1 Rh 0.0000 0.5000 0.0000
Rh2 Rh 0.5000 0.0000 0.0000
Cl1 Cl 0.0000 0.0000 0.5000

=====

10.
# KAsSCl2 (PBE, optimized geometry)
# Calculated volume: 26.3 Å³/atom
# Relative energy among the computed polymorphs: 0 meV per atom
# Magnetization: 0.0 μB per formula unit
# Electronic total energy: -17.5 eV per formula unit
data_KAsSCl2
_cell_length_a 5.2764
_cell_length_b 5.2764
_cell_length_c 4.7317
_cell_angle_alpha 90.00
_cell_angle_beta 90.00
_cell_angle_gamma 90.00
_space_group_name_H-M_alt 'P 1'
_space_group_IT_number 1
_space_group_name_Hall 'P 1'
loop_
_atom_site_label
_atom_site_type_symbol
_atom_site_fract_x
_atom_site_fract_y
_atom_site_fract_z
K1 K 0.0000 0.0000 0.0000
As1 As 0.5000 0.5000 0.5000
S1 S 0.5000 0.5000 0.0000
Cl1 Cl 0.0000 0.5000 0.5000
Cl2 Cl 0.5000 0.0000 0.5000

=====

11.
# KAs2SCl (PBE, optimized geometry)
# Calculated volume: 36.3 Å³/atom
# Magnetization: 0.0 μB per formula unit
# Electronic total energy: -16.9 eV per formula unit
data_KAs2SCl
_cell_length_a 4.7151
_cell_length_b 4.7151
_cell_length_c 8.1657
_cell_angle_alpha 90.00
_cell_angle_beta 90.00
_cell_angle_gamma 90.00
_space_group_name_H-M_alt 'P 1'
_space_group_IT_number 1
_space_group_name_Hall 'P 1'
loop_
_atom_site_label
_atom_site_type_symbol
_atom_site_fract_x
_atom_site_fract_y
_atom_site_fract_z
K1 K 0.0000 0.0000 0.0000
As1 As 0.0000 0.5000 0.5000
As2 As 0.5000 0.0000 0.5000
S1 S 0.5000 0.5000 0.5000
Cl1 Cl 0.5000 0.5000 0.0000

=====

12.
# KAsSCl2 (PBE, optimized geometry)
# Calculated volume: 33.3 Å³/atom
# Relative energy among the computed polymorphs: 1412 meV per atom
# Magnetization: 0.0 μB per formula unit
# Electronic total energy: -10.4 eV per formula unit
data_KAsSCl2
_cell_length_a 5.4196
_cell_length_b 5.4196
_cell_length_c 5.6727
_cell_angle_alpha 90.00
_cell_angle_beta 90.00
_cell_angle_gamma 90.00
_space_group_name_H-M_alt 'P 1'
_space_group_IT_number 1
_space_group_name_Hall 'P 1'
loop_
_atom_site_label
_atom_site_type_symbol
_atom_site_fract_x
_atom_site_fract_y
_atom_site_fract_z
K1 K 0.0000 0.0000 0.0000
As1 As 0.5000 0.5000 0.5000
S1 S 0.0000 0.0000 0.5000
Cl1 Cl 0.0000 0.5000 0.0000
Cl2 Cl 0.5000 0.0000 0.0000

=====

13.
# KAsSe2Cl (PBE, optimized geometry)
# Calculated volume: 50.9 Å³/atom
# Relative energy among the computed polymorphs: 669 meV per atom
# Magnetization: 1.0 μB per formula unit
# Electronic total energy: -9.5 eV per formula unit
data_KAsSe2Cl
_cell_length_a 6.2710
_cell_length_b 6.2710
_cell_length_c 6.4722
_cell_angle_alpha 90.00
_cell_angle_beta 90.00
_cell_angle_gamma 90.00
_space_group_name_H-M_alt 'P 1'
_space_group_IT_number 1
_space_group_name_Hall 'P 1'
loop_
_atom_site_label
_atom_site_type_symbol
_atom_site_fract_x
_atom_site_fract_y
_atom_site_fract_z
K1 K 0.0000 0.0000 0.0000
As1 As 0.0000 0.0000 0.5000
Se1 Se 0.0000 0.5000 0.0000
Se2 Se 0.5000 0.0000 0.0000
Cl1 Cl 0.5000 0.5000 0.5000